Record 1
Material: La2Th2Te7
Method: DFT, PBE-GGA
State: relaxed

Summary:
Formation energy from raw total energies = -1.37 eV per atom
Symmetry = Imm2, No. 44
Energy above the most stable polymorph in this dataset = 0.00 eV/f.u.

Cell lengths 4.5299, 9.8123, 9.8123 Å; angles 61.07, 76.65, 76.65 degrees
With the nearest neighbours (Å) after each atom.
Fractional positions:
La1 0.2636 0.3238 0.1490  7 Te 3.16-3.44
La2 0.7364 0.8510 0.6762  7 Te 3.16-3.44
Te1 0.8650 0.4229 0.8471  2 Th 3.18, 2 La 3.44
Te2 0.5000 0.0116 0.9884  3 Th 3.16-3.24
Te3 0.3926 0.7140 0.5007  3 Th 3.27-3.34, 2 La 3.41, 1 Te 3.50
Te4 0.1814 0.7034 0.9337  1 Th 3.14, 3 La 3.16-3.25
Te5 0.1350 0.1529 0.5771  2 Th 3.18, 2 La 3.44
Te6 0.8186 0.0663 0.2966  1 Th 3.14, 3 La 3.16-3.25
Te7 0.6074 0.4993 0.2860  3 Th 3.27-3.34, 2 La 3.41, 1 Te 3.50
Th1 0.5000 0.3290 0.6710  7 Te 3.16-3.27
Th2 0.0000 0.7798 0.2202  8 Te 3.14-3.34

=====

Record 2
Material: Pm2Co2Ag
Method: DFT, PBE-GGA
State: relaxed

Summary:
E_form = -0.167 eV per atom
Symmetry = Cmmm, No. 65

Cell lengths 3.9457, 3.8910, 7.1871 Å; angles 105.71, 90.00, 90.00 degrees
With the nearest neighbours (Å) after each atom.
Fractional positions:
Pm1 0.5000 0.6337 0.2674  6 Co 2.93-2.96
Pm2 0.5000 0.3663 0.7326  6 Co 2.93-2.96
Ag1 0.0000 0.0000 0.0000  2 Co 2.90
Co1 0.0000 0.2094 0.4189  2 Co 2.25
Co2 0.0000 0.7906 0.5811  2 Co 2.25

=====

Record 3
Material: MgScOsPt2
Method: DFT, PBE-GGA
State: relaxed

Summary:
E_form = 1.103 eV per atom
Symmetry = P4/mmm, No. 123

Cell lengths 4.4454, 4.7638, 4.4454 Å; angles 90.00, 90.00, 90.00 degrees
With the nearest neighbours (Å) after each atom.
Fractional positions:
Sc1 0.0000 0.5000 0.0000  2 Mg 2.38
Pt1 0.0000 0.0000 0.5000  2 Mg 2.22
Pt2 0.5000 0.0000 0.0000  2 Mg 2.22
Os1 0.5000 0.5000 0.5000  4 Sc 3.14, 8 Pt 3.26
Mg1 0.0000 0.0000 0.0000  4 Pt 2.22, 2 Sc 2.38

=====

Record 4
Material: Pa2AuO6F3
Method: DFT, PBE-GGA
State: relaxed

Summary:
Formation energy from raw total energies = -2.32 eV per atom
Symmetry = C2/m, No. 12

Cell lengths 6.3270, 6.3270, 4.5069 Å; angles 97.16, 97.16, 111.54 degrees
With the nearest neighbours (Å) after each atom.
Fractional positions:
F1 0.5000 0.5000 0.5000  2 O 1.83
F2 0.2603 0.7397 0.5000  2 Pa 2.34, 1 F 2.51
F3 0.7397 0.2603 0.5000  2 Pa 2.34, 1 F 2.51
O1 0.0390 0.3363 0.0864  1 Au 2.03, 1 Pa 2.23
O2 0.3474 0.3474 0.7787  1 F 1.83
O3 0.6637 0.9610 0.9136  1 Au 2.03, 1 Pa 2.23
O4 0.6526 0.6526 0.2213  1 F 1.83
O5 0.3363 0.0390 0.0864  1 Au 2.03, 1 Pa 2.23
O6 0.9610 0.6637 0.9136  1 Au 2.03, 1 Pa 2.23
Au1 0.0000 0.0000 0.0000  4 O 2.03
Pa1 0.6786 0.3214 0.0000  6 O 2.23-2.36, 2 F 2.34
Pa2 0.3214 0.6786 0.0000  6 O 2.23-2.36, 2 F 2.34

=====

Record 5
Material: Nd6PtRh2Cl3
Method: DFT, PBE-GGA
State: relaxed

Summary:
Formation energy from raw total energies = -1.23 eV per atom
Symmetry = C2/m, No. 12

Cell lengths 7.1534, 7.1534, 7.9070 Å; angles 98.65, 98.65, 120.01 degrees
With the nearest neighbours (Å) after each atom.
Fractional positions:
Nd1 0.0685 0.4083 0.2055  2 Rh 2.82-2.83, 1 Pt 2.88
Nd2 0.5917 0.9315 0.7945  2 Rh 2.82-2.83, 1 Pt 2.88
Nd3 0.9315 0.5917 0.7945  2 Rh 2.82-2.83, 1 Pt 2.88
Nd4 0.2717 0.2717 0.7946  2 Rh 2.82, 1 Pt 2.88
Nd5 0.4083 0.0685 0.2055  2 Rh 2.82-2.83, 1 Pt 2.88
Nd6 0.7283 0.7283 0.2054  2 Rh 2.82, 1 Pt 2.88
Pt1 0.0000 0.0000 0.0000  6 Nd 2.88
Cl1 0.8295 0.1705 0.5000  6 Nd 3.20-3.31
Cl2 0.1705 0.8295 0.5000  6 Nd 3.20-3.31
Cl3 0.5000 0.5000 0.5000  6 Nd 3.22-3.28
Rh1 0.6666 0.3334 0.0000  6 Nd 2.82-2.83
Rh2 0.3334 0.6666 0.0000  6 Nd 2.82-2.83

=====

Record 6
Material: Tb2Dy6YMg
Method: DFT, PBE-GGA
State: relaxed

Summary:
E_form = 0.115 eV per atom
Symmetry = C2/c, No. 15

Cell lengths 6.6116, 10.9250, 10.9250 Å; angles 126.17, 85.60, 85.60 degrees
With the nearest neighbours (Å) after each atom.
Fractional positions:
Dy1 0.5206 0.5319 0.7030  1 Mg 3.26, 4 Tb 3.42-3.58, 3 Dy 3.43-3.55
Dy2 0.9794 0.2970 0.4681  1 Mg 3.26, 4 Tb 3.42-3.58, 3 Dy 3.43-3.55
Dy3 0.2793 0.9159 0.4364  6 Dy 3.35-3.57, 2 Mg 3.35-3.37, 1 Tb 3.47
Dy4 0.2207 0.5636 0.0841  6 Dy 3.35-3.57, 2 Mg 3.35-3.37, 1 Tb 3.47
Dy5 0.7793 0.4364 0.9159  6 Dy 3.35-3.57, 2 Mg 3.35-3.37, 1 Tb 3.47
Dy6 0.9677 0.9125 0.2069  2 Y 3.28-3.45, 5 Dy 3.29-3.43, 1 Mg 3.32, 2 Tb 3.42-3.64
Dy7 0.4677 0.2069 0.9125  2 Y 3.28-3.45, 5 Dy 3.29-3.43, 1 Mg 3.32, 2 Tb 3.42-3.64
Dy8 0.0323 0.0875 0.7931  2 Y 3.28-3.45, 5 Dy 3.29-3.43, 1 Mg 3.32, 2 Tb 3.42-3.64
Dy9 0.5323 0.7931 0.0875  2 Y 3.28-3.45, 5 Dy 3.29-3.43, 1 Mg 3.32, 2 Tb 3.42-3.64
Dy10 0.0206 0.7030 0.5319  1 Mg 3.26, 4 Tb 3.42-3.58, 3 Dy 3.43-3.55
Dy11 0.4794 0.4681 0.2970  1 Mg 3.26, 4 Tb 3.42-3.58, 3 Dy 3.43-3.55
Dy12 0.7207 0.0841 0.5636  6 Dy 3.35-3.57, 2 Mg 3.35-3.37, 1 Tb 3.47
Tb1 0.5039 0.8180 0.6506  2 Y 3.38-3.63, 7 Dy 3.42-3.64, 1 Mg 3.51
Tb2 0.4961 0.1820 0.3494  2 Y 3.38-3.63, 7 Dy 3.42-3.64, 1 Mg 3.51
Tb3 0.0039 0.6506 0.8180  2 Y 3.38-3.63, 7 Dy 3.42-3.64, 1 Mg 3.51
Tb4 0.9961 0.3494 0.1820  2 Y 3.38-3.63, 7 Dy 3.42-3.64, 1 Mg 3.51
Y1 0.2500 0.9917 0.0083  4 Dy 3.28-3.45, 2 Y 3.32, 4 Tb 3.38-3.63
Y2 0.7500 0.0083 0.9917  4 Dy 3.28-3.45, 2 Y 3.32, 4 Tb 3.38-3.63
Mg1 0.2500 0.2951 0.7049  8 Dy 3.26-3.37, 2 Tb 3.51
Mg2 0.7500 0.7049 0.2951  8 Dy 3.26-3.37, 2 Tb 3.51

=====

Record 7
Material: Pr8Pd2Pt
Method: DFT, PBE-GGA
State: relaxed

Summary:
E_form = -0.366 eV per atom
Symmetry = Cm, No. 8
Energy above the most stable polymorph in this dataset = 0.97 eV/f.u.

Cell lengths 6.4252, 7.9186, 7.9186 Å; angles 113.86, 101.23, 101.23 degrees
With the nearest neighbours (Å) after each atom.
Fractional positions:
Pr1 0.3532 0.9135 0.6511  2 Pd 2.92-3.00, 1 Pt 3.08
Pr2 0.9792 0.7969 0.1995  1 Pt 3.00
Pr3 0.1675 0.3608 0.3608  1 Pt 3.07, 2 Pd 3.19
Pr4 0.9792 0.1995 0.7969  1 Pt 3.00
Pr5 0.3532 0.6511 0.9135  2 Pd 2.92-3.00, 1 Pt 3.08
Pr6 0.8027 0.6461 0.6461  2 Pd 3.17, 1 Pt 3.28
Pr7 0.5963 0.3520 0.0899  2 Pd 2.88-2.97, 1 Pt 3.09
Pr8 0.5963 0.0899 0.3520  2 Pd 2.88-2.97, 1 Pt 3.09
Pd1 0.4876 0.3171 0.6929  6 Pr 2.88-3.19
Pd2 0.4876 0.6929 0.3171  6 Pr 2.88-3.19
Pt1 0.1968 0.0142 0.0142  8 Pr 3.00-3.28

=====

Record 8
Material: CdHgPb
Method: DFT, PBE-GGA
State: relaxed

Summary:
E_form = 0.036 eV per atom
Symmetry = I4mm, No. 107

Cell lengths 3.6065, 3.6065, 6.6510 Å; angles 105.73, 105.73, 90.00 degrees
With the nearest neighbours (Å) after each atom.
Fractional positions:
Pb1 0.3345 0.3345 0.6691  4 Cd 3.34, 4 Hg 3.36, 4 Pb 3.61
Hg1 0.6559 0.6559 0.3119  4 Cd 3.12, 4 Pb 3.36
Cd1 0.0095 0.0095 0.0191  4 Hg 3.12, 4 Pb 3.34

=====

Record 9
Material: GaReH2
Method: DFT, PBE-GGA
State: relaxed

Summary:
Symmetry = Fm-3m, No. 225
Energy above the most stable polymorph in this dataset = 2.80 eV/f.u.

Cell lengths 3.7394, 3.7394, 3.7394 Å; angles 60.00, 60.00, 60.00 degrees
With the nearest neighbours (Å) after each atom.
Fractional positions:
Re1 0.5000 0.5000 0.5000  8 H 2.29
H1 0.2500 0.2500 0.2500  4 Re 2.29, 4 Ga 2.29
H2 0.7500 0.7500 0.7500  4 Re 2.29, 4 Ga 2.29
Ga1 0.0000 0.0000 0.0000  8 H 2.29

=====

Record 10
Material: PrYTe6
Method: DFT, PBE-GGA
State: relaxed

Summary:
Formation energy from raw total energies = -0.96 eV per atom
Symmetry = Amm2, No. 38

Cell lengths 4.3746, 4.3759, 13.8065 Å; angles 90.00, 99.12, 90.00 degrees
With the nearest neighbours (Å) after each atom.
Fractional positions:
Y1 0.8280 0.0000 0.6560  9 Te 3.22-3.34
Te1 0.5772 0.5000 0.1544  4 Te 3.09, 2 Pr 3.40
Te2 0.4204 0.0000 0.8408  4 Te 3.09, 2 Y 3.34
Te3 0.0772 0.0000 0.1545  4 Te 3.09, 2 Pr 3.40
Te4 0.9203 0.5000 0.8407  4 Te 3.09, 2 Y 3.34
Te5 0.2945 0.5000 0.5890  4 Y 3.23, 1 Pr 3.32
Te6 0.7098 0.0000 0.4196  1 Y 3.22, 4 Pr 3.26
Pr1 0.1726 0.5000 0.3452  9 Te 3.26-3.40

=====

Record 11
Material: CeLuGe
Method: DFT, PBE-GGA
State: relaxed

Summary:
E_form = -0.385 eV per atom
Symmetry = F-43m, No. 216

Cell lengths 4.8813, 4.8813, 4.8813 Å; angles 60.00, 60.00, 60.00 degrees
With the nearest neighbours (Å) after each atom.
Fractional positions:
Ge1 0.2500 0.2500 0.2500  4 Ce 2.99, 4 Lu 2.99
Lu1 0.0000 0.0000 0.0000  4 Ge 2.99
Ce1 0.5000 0.5000 0.5000  4 Ge 2.99

=====

Record 12
Material: TbTmSiPd
Method: DFT, PBE-GGA
State: relaxed

Summary:
Formation energy from raw total energies = -0.84 eV per atom
Symmetry = Amm2, No. 38
Energy above the most stable polymorph in this dataset = 0.00 eV/f.u.

Cell lengths 3.9214, 4.2173, 5.7193 Å; angles 90.00, 110.05, 90.00 degrees
With the nearest neighbours (Å) after each atom.
Fractional positions:
Tm1 0.1382 0.0000 0.2765  4 Si 2.95, 3 Pd 3.01-3.09
Tb1 0.8571 0.5000 0.7142  4 Pd 2.97, 3 Si 2.99-3.09
Pd1 0.4256 0.0000 0.8512  2 Si 2.68, 4 Tb 2.97
Si1 0.5791 0.5000 0.1581  2 Pd 2.68, 4 Tm 2.95, 1 Tb 2.99